{"formula": "KAu13", "functional": "PBE", "state": "optimized geometry", "volume_a3_per_cell": 583.6, "crystal_system": "cubic", "ef_mev_per_atom": -57, "spacegroup": "No. 226", "mass_density_g_cm3": 14.794, "cell": [[0.000, 6.633, 6.633], [6.633, 0.000, 6.633], [6.633, 6.633, 0.000]], "species": ["K", "K", "Au", "Au", "Au", "Au", "Au", "Au", "Au", "Au", "Au", "Au", "Au", "Au", "Au", "Au", "Au", "Au", "Au", "Au", "Au", "Au", "Au", "Au", "Au", "Au", "Au", "Au"], "fractional_positions": [[0.250, 0.250, 0.250], [0.750, 0.750, 0.750], [0.000, 0.000, 0.000], [0.063, 0.301, 0.699], [0.063, 0.699, 0.937], [0.063, 0.937, 0.301], [0.199, 0.437, 0.801], [0.199, 0.563, 0.437], [0.199, 0.801, 0.563], [0.301, 0.063, 0.937], [0.301, 0.699, 0.063], [0.301, 0.937, 0.699], [0.437, 0.199, 0.563], [0.437, 0.563, 0.801], [0.437, 0.801, 0.199], [0.500, 0.500, 0.500], [0.563, 0.199, 0.801], [0.563, 0.437, 0.199], [0.563, 0.801, 0.437], [0.699, 0.063, 0.301], [0.699, 0.301, 0.937], [0.699, 0.937, 0.063], [0.801, 0.199, 0.437], [0.801, 0.437, 0.563], [0.801, 0.563, 0.199], [0.937, 0.063, 0.699], [0.937, 0.301, 0.063], [0.937, 0.699, 0.301]]}